Entry 1:
An optimized crystal structure of Hg2SbIr. Source: the Alexandria database, functional GGA-PBE.

Summary:
Total magnetization = 0.00 μB per cell
Uncorrected energy = -3.103 eV per atom
DOS at the Fermi energy = 2.34 states/eV/f.u.

```
Hg2SbIr
1.0
7.294 0.000 0.016
5.302 5.009 -0.016
-5.960 -3.355 2.535
Ir Sb Hg
1 1 2
Direct
0.750 0.250 0.500
0.250 0.750 0.500
0.943 0.943 0.000
0.557 0.557 0.000
```

***

Entry 2:
An optimized crystal structure of LaTl2P. Source: the Alexandria database, functional GGA-PBE.

Summary:
Total magnetization = 0.00 μB per cell
Energy of formation from the pure elements = -116 kJ/mol of formula units
DOS at the Fermi energy = 2.16 states/eV/f.u.

```
LaTl2P
1.0
-6.217 4.524 3.934
-0.199 -5.820 6.379
-1.103 0.933 6.664
Tl P La
4 2 2
Direct
0.375 0.424 0.750
0.174 0.625 0.250
0.875 0.826 0.750
0.576 0.125 0.250
0.500 0.500 0.000
0.250 0.750 0.500
0.750 0.250 0.500
0.000 0.000 0.000
```

***

Entry 3:
An optimized crystal structure of Li2AgSbI6. Source: the Alexandria database, functional GGA-PBE.

Summary:
Total magnetization = 0.00 μB per cell
Uncorrected energy = -2.635 eV per atom
DOS at the Fermi energy = 0.00 states/eV/f.u.

```
Li2AgSbI6
1.0
7.571 0.001 -0.002
3.786 6.555 -0.001
3.783 2.186 6.951
Ag I Li Sb
1 6 2 1
Direct
0.816 0.816 0.552
0.741 0.108 0.745
0.406 0.741 0.745
0.916 0.602 0.251
0.602 0.231 0.251
0.231 0.916 0.251
0.108 0.406 0.745
0.512 0.511 0.466
0.003 0.003 0.990
0.327 0.327 0.018
```

***

Entry 4:
An optimized crystal structure of Ac2ReHN3. Source: the Alexandria database, functional GGA-PBE.

Summary:
Total magnetization = 0.00 μB per cell
Uncorrected energy = -7.781 eV per atom
DOS at the Fermi energy = 3.35 states/eV/f.u.

```
Ac2ReHN3
1.0
-0.693 3.535 -1.354
-2.127 -1.563 -2.991
-4.179 -0.630 5.961
N Ac Re H
3 2 1 1
Direct
0.842 0.842 0.684
0.158 0.158 0.316
0.000 0.500 0.000
0.352 0.352 0.703
0.648 0.648 0.297
0.000 0.000 0.000
0.500 0.000 0.000
```

***

Entry 5:
An optimized crystal structure of Rb2SnGeI6. Source: the Alexandria database, functional GGA-PBE.

Summary:
Total magnetization = 0.00 μB per cell
Uncorrected energy = -2.831 eV per atom

```
Rb2SnGeI6
1.0
8.373 0.000 -0.036
0.000 8.687 0.000
0.025 0.000 12.062
I Rb Sn Ge
12 4 2 2
Direct
0.694 0.290 0.541
0.293 0.697 0.041
0.707 0.303 0.959
0.793 0.803 0.541
0.194 0.210 0.041
0.806 0.790 0.959
0.083 0.489 0.757
0.583 0.011 0.257
0.917 0.511 0.243
0.417 0.989 0.743
0.207 0.197 0.459
0.306 0.710 0.459
0.523 0.570 0.749
0.477 0.430 0.251
0.977 0.070 0.751
0.023 0.930 0.249
0.000 0.500 0.500
0.500 0.000 0.000
0.000 0.500 0.000
0.500 0.000 0.500
```

***

Entry 6:
An optimized crystal structure of LiTb4Mg3. Source: the Alexandria database, functional GGA-PBE.

Summary:
Total magnetization = 0.00 μB per cell
Energy of formation from the pure elements = -23 kJ/mol of formula units
DOS at the Fermi energy = 9.37 states/eV/f.u.

```
LiTb4Mg3
1.0
-2.735 4.568 -0.525
-4.347 0.874 2.993
2.614 5.498 6.971
Tb Mg Li
4 3 1
Direct
0.374 0.374 0.878
0.876 0.876 0.372
0.626 0.626 0.122
0.124 0.124 0.628
0.500 0.500 0.500
0.752 0.752 0.745
0.248 0.248 0.255
0.000 0.000 0.000
```

***

Entry 7:
An optimized crystal structure of ScV2Ga2. Source: the Alexandria database, functional GGA-PBE.

Summary:
Total magnetization = 0.00 μB per cell
Energy of formation from the pure elements = 16 kJ/mol of formula units
DOS at the Fermi energy = 2.88 states/eV/f.u.

```
ScV2Ga2
1.0
4.086 0.000 0.000
0.000 4.086 0.000
2.043 2.043 5.156
Ga V Sc
2 2 1
Direct
0.250 0.750 0.500
0.750 0.250 0.500
0.591 0.591 0.819
0.409 0.409 0.181
0.000 0.000 0.000
```

***

Entry 8:
An optimized crystal structure of RbMgTlSn. Source: the Alexandria database, functional GGA-PBE.

Summary:
Total magnetization = 0.00 μB per cell
Energy of formation from the pure elements = 11 kJ/mol of formula units
DOS at the Fermi energy = 1.02 states/eV/f.u.

```
RbMgTlSn
1.0
5.616 0.000 0.000
2.808 4.864 0.000
2.808 1.621 4.585
Mg Rb Sn Tl
1 1 1 1
Direct
0.000 0.000 0.000
0.750 0.750 0.750
0.250 0.250 0.250
0.500 0.500 0.500
```

***

Entry 9:
An optimized crystal structure of AlAg2W2. Source: the Alexandria database, functional GGA-PBE.

Summary:
Total magnetization = 0.00 μB per cell
Energy of formation from the pure elements = 374 kJ/mol of formula units
DOS at the Fermi energy = 3.03 states/eV/f.u.

```
AlAg2W2
1.0
-1.797 1.797 7.277
1.797 -1.797 7.277
1.797 1.797 -7.277
W Al Ag
2 1 2
Direct
0.250 0.750 0.500
0.750 0.250 0.500
0.000 0.000 0.000
0.594 0.594 0.000
0.406 0.406 0.000
```

***

Entry 10:
An optimized crystal structure of PmPrSmTm3. Source: the Alexandria database, functional GGA-PBE.

Summary:
Total magnetization = 0.00 μB per cell
Energy of formation from the pure elements = 65 kJ/mol of formula units
DOS at the Fermi energy = 11.72 states/eV/f.u.

```
PmPrSmTm3
1.0
-4.957 2.797 1.457
0.673 -6.016 1.990
5.071 3.839 9.890
Tm Pm Sm Pr
6 2 2 2
Direct
0.329 0.657 0.994
0.329 0.657 0.506
0.831 0.661 0.250
0.671 0.343 0.006
0.671 0.343 0.494
0.169 0.339 0.750
0.493 0.986 0.250
0.507 0.014 0.750
0.823 0.646 0.750
0.177 0.354 0.250
0.000 0.000 0.000
0.000 0.000 0.500
```

***

Entry 11:
An optimized crystal structure of CuBPdF2. Source: the Alexandria database, functional GGA-PBE.

Summary:
Total magnetization = 0.00 μB per cell
Uncorrected energy = -4.044 eV per atom
DOS at the Fermi energy = 1.77 states/eV/f.u.

```
CuBPdF2
1.0
3.408 0.000 0.000
0.000 3.408 0.000
0.000 0.000 5.176
F B Pd Cu
2 1 1 1
Direct
0.500 0.000 0.000
0.000 0.500 0.000
0.000 0.000 0.000
0.500 0.500 0.500
0.000 0.000 0.500
```

***

Entry 12:
An optimized crystal structure of Ba2YZn2O6. Source: the Alexandria database, functional GGA-PBE.

Summary:
Total magnetization = 1.05 μB per cell
Uncorrected energy = -6.020 eV per atom
DOS at the Fermi energy = 7.75 states/eV/f.u.

```
Ba2YZn2O6
1.0
-0.709 2.774 5.408
0.990 -3.100 5.182
5.748 1.531 3.431
Zn O Y Ba
2 6 1 2
Direct
0.579 0.579 0.263
0.421 0.421 0.737
0.756 0.228 0.261
0.756 0.756 0.261
0.244 0.244 0.739
0.772 0.244 0.739
0.228 0.756 0.261
0.244 0.772 0.739
0.000 0.000 0.000
0.789 0.789 0.633
0.211 0.211 0.367
```